DFT (PBE-GGA) results for an optimized crystal structure of ReNiSnHg.

POSCAR file:
```
ReNiSnHg
1.0
0.000 3.300 3.300
3.300 0.000 3.300
3.300 3.300 0.000
Hg Ni Re Sn
1 1 1 1
direct
0.250 0.250 0.250
0.750 0.750 0.750
0.500 0.500 0.500
0.000 0.000 0.000
```

**DFT total energy**: -4.64 eV per atom



DFT (PBE-GGA) results for an optimized crystal structure of AgGeAuSe3.

POSCAR file:
```
AgGeAuSe3
1.0
5.797 2.950 -4.717
-7.242 -3.190 1.392
-3.543 8.446 0.929
Ag Au Ge Se
2 2 2 6
direct
0.545 0.455 0.250
0.455 0.545 0.750
0.000 0.000 0.000
0.000 0.000 0.500
0.241 0.759 0.250
0.759 0.241 0.750
0.676 0.324 0.066
0.917 0.083 0.250
0.676 0.324 0.434
0.324 0.676 0.566
0.083 0.917 0.750
0.324 0.676 0.934
```

**DFT total energy**: -3.43 eV per atom



What is the DFT total energy in the second record? -3.43 eV per atom